A plane-wave DFT calculation with PBE was carried out for crystalline Rb4BaNp3O12 at its relaxed geometry.

Values from the calculation:
Electronic total energy = -7.791 eV per atom
Space-group type = Im-3m
DOS(E_F) = 0.24 states/eV/atom

a b c (Å): 7.7267 7.7267 7.7267
angles (deg): 109.47 109.47 109.47
Element x y z (fractional)
O: 0.7500 0.5000 0.2500
O: 0.0000 0.2864 0.2864
O: 0.7136 0.7136 0.0000
O: 0.2500 0.7500 0.5000
O: 0.2500 0.5000 0.7500
O: 0.7136 0.0000 0.7136
O: 0.7500 0.2500 0.5000
O: 0.0000 0.7136 0.7136
O: 0.5000 0.7500 0.2500
O: 0.2864 0.0000 0.2864
O: 0.2864 0.2864 0.0000
O: 0.5000 0.2500 0.7500
Np: 0.5000 0.0000 0.5000
Np: 0.0000 0.5000 0.5000
Np: 0.5000 0.5000 0.0000
Rb: 0.5000 0.5000 0.5000
Rb: 0.5000 0.0000 0.0000
Rb: 0.0000 0.5000 0.0000
Rb: 0.0000 0.0000 0.5000
Ba: 0.0000 0.0000 0.0000